[1]
Density functional theory data (PBE) for crystalline PrDy4Tm2 at its relaxed geometry.

## Properties
The calculation puts the mass density at 8.41 g/cm³. For the energy relative to the lowest polymorph listed for this composition, the calculation gives 0.000 eV/f.u. The energy of formation is 0.2 eV/f.u.

Lattice parameters (Å, degrees): 8.4895 8.4895 8.7200 118.43 118.43 23.95
Last column: nearest neighbours and their distance in Å.
Fractional positions:
1 Pr 0.0000 0.0000 0.0000  2 Tm 3.35, 2 Pr 3.52, 4 Dy 3.58
2 Dy 0.2946 0.2946 0.7054  3 Tm 3.30-3.48, 7 Dy 3.52-3.69, 2 Pr 3.58
3 Dy 0.3600 0.3600 0.1701  7 Dy 3.52-3.83, 4 Tm 3.55-3.58, 2 Pr 3.75
4 Dy 0.6400 0.6400 0.8299  7 Dy 3.52-3.83, 4 Tm 3.55-3.58, 2 Pr 3.75
5 Dy 0.7054 0.7054 0.2946  3 Tm 3.30-3.48, 7 Dy 3.52-3.69, 2 Pr 3.58
6 Tm 0.0709 0.0709 0.4310  1 Tm 3.12, 3 Dy 3.30-3.48, 1 Pr 3.35
7 Tm 0.9291 0.9291 0.5690  1 Tm 3.12, 3 Dy 3.30-3.48, 1 Pr 3.35



[2]
Density functional theory data (PBE) for crystalline PrDy9Tm2 at its relaxed geometry.

## Properties
The calculation puts the mass density at 8.44 g/cm³. For the energy relative to the lowest polymorph listed for this composition, the calculation gives 0.127 eV/f.u. The energy of formation is 0.4 eV/f.u.

Lattice parameters (Å, degrees): 11.2103 11.2103 3.5079 90.00 90.00 120.00
Last column: nearest neighbours and their distance in Å.
Fractional positions:
1 Pr 0.0000 0.0000 0.0000  2 Pr 3.51, 12 Dy 3.89
2 Dy 0.0000 0.5000 0.0000  2 Tm 3.24, 10 Dy 3.51-3.58
3 Dy 0.1789 0.3578 0.5000  8 Dy 3.47-3.58, 2 Tm 3.47
4 Dy 0.1789 0.8211 0.5000  8 Dy 3.47-3.58, 2 Tm 3.47
5 Dy 0.3578 0.1789 0.5000  8 Dy 3.47-3.58, 2 Tm 3.47
6 Dy 0.5000 0.0000 0.0000  2 Tm 3.24, 10 Dy 3.51-3.58
7 Dy 0.5000 0.5000 0.0000  2 Tm 3.24, 10 Dy 3.51-3.58
8 Dy 0.6422 0.8211 0.5000  8 Dy 3.47-3.58, 2 Tm 3.47
9 Dy 0.8211 0.1789 0.5000  8 Dy 3.47-3.58, 2 Tm 3.47
10 Dy 0.8211 0.6422 0.5000  8 Dy 3.47-3.58, 2 Tm 3.47
11 Tm 0.3333 0.6667 0.0000  9 Dy 3.24-3.47, 2 Tm 3.51
12 Tm 0.6667 0.3333 0.0000  9 Dy 3.24-3.47, 2 Tm 3.51



[3]
Density functional theory data (PBE) for crystalline Pr2Dy5Tm5 at its relaxed geometry.

## Properties
The calculation puts the mass density at 8.50 g/cm³. The energy of formation is 0.3 eV/f.u.

Lattice parameters (Å, degrees): 7.9381 7.9381 11.2166 115.10 115.10 36.83
Last column: nearest neighbours and their distance in Å.
Fractional positions:
1 Pr 0.0829 0.0829 0.2485  7 Dy 3.54-3.57, 5 Tm 3.55-3.56
2 Pr 0.9171 0.9171 0.7515  7 Dy 3.54-3.57, 5 Tm 3.55-3.56
3 Dy 0.3339 0.3339 0.5001  4 Dy 3.53-3.56, 5 Tm 3.54-3.57, 3 Pr 3.56-3.57
4 Dy 0.4148 0.4148 0.2495  7 Tm 3.51-3.55, 3 Dy 3.53-3.56, 2 Pr 3.57
5 Dy 0.5000 0.5000 0.0000  4 Pr 3.54, 2 Dy 3.56, 6 Tm 3.57
6 Dy 0.5852 0.5852 0.7505  7 Tm 3.51-3.55, 3 Dy 3.53-3.56, 2 Pr 3.57
7 Dy 0.6661 0.6661 0.4999  4 Dy 3.53-3.56, 5 Tm 3.54-3.57, 3 Pr 3.56-3.57
8 Tm 0.0000 0.0000 0.5000  2 Tm 3.53, 8 Dy 3.54-3.55, 2 Pr 3.56
9 Tm 0.1685 0.1685 0.0002  5 Dy 3.51-3.57, 5 Tm 3.51-3.55, 2 Pr 3.55-3.56
10 Tm 0.2485 0.2485 0.7498  6 Dy 3.51-3.57, 4 Tm 3.52-3.55, 2 Pr 3.56
11 Tm 0.7515 0.7515 0.2502  6 Dy 3.51-3.57, 4 Tm 3.52-3.55, 2 Pr 3.56
12 Tm 0.8315 0.8315 0.9998  5 Dy 3.51-3.57, 5 Tm 3.51-3.55, 2 Pr 3.55-3.56



[4]
Density functional theory data (PBE) for crystalline PrDy2Tm at its relaxed geometry.

## Properties
The calculation puts the mass density at 8.16 g/cm³. For the energy relative to the lowest polymorph listed for this composition, the calculation gives 0.026 eV/f.u. The energy of formation is 0.1 eV/f.u.

Lattice parameters (Å, degrees): 11.7678 11.7678 11.7678 17.54 17.54 17.54
Last column: nearest neighbours and their distance in Å.
Fractional positions:
1 Pr 0.0000 0.0000 0.0000  6 Pr 3.59, 6 Dy 3.61-3.65
2 Dy 0.2481 0.2481 0.2481  3 Tm 3.49, 6 Dy 3.59, 3 Pr 3.61
3 Dy 0.4196 0.4196 0.4196  3 Tm 3.50, 6 Dy 3.59, 3 Pr 3.65
4 Tm 0.8340 0.8340 0.8340  6 Dy 3.49-3.50, 6 Tm 3.59



[5]
Density functional theory data (PBE) for crystalline Pr6Dy5Tm2 at its relaxed geometry.

## Properties
The calculation puts the mass density at 7.51 g/cm³. The energy of formation is 1.4 eV/f.u.

Lattice parameters (Å, degrees): 11.7129 20.7723 3.6291 90.00 90.00 90.00
Last column: nearest neighbours and their distance in Å.
Fractional positions:
1 Pr 0.0616 0.0812 0.0000  6 Dy 3.57-3.73, 5 Pr 3.63-3.80, 1 Tm 3.75
2 Pr 0.0853 0.3682 0.0000  1 Tm 3.33, 6 Dy 3.43-3.50, 4 Pr 3.51-3.63
3 Pr 0.1714 0.6375 0.5000  2 Dy 3.34-3.49, 4 Pr 3.51-3.63, 2 Tm 3.67
4 Pr 0.3286 0.1375 0.5000  2 Dy 3.34-3.49, 4 Pr 3.51-3.63, 2 Tm 3.67
5 Pr 0.4147 0.8682 0.0000  1 Tm 3.33, 6 Dy 3.43-3.50, 4 Pr 3.51-3.63
6 Pr 0.4384 0.5812 0.0000  6 Dy 3.57-3.73, 5 Pr 3.63-3.80, 1 Tm 3.75
7 Pr 0.5616 0.4188 0.0000  6 Dy 3.57-3.73, 5 Pr 3.63-3.80, 1 Tm 3.75
8 Pr 0.5853 0.1318 0.0000  1 Tm 3.33, 6 Dy 3.43-3.50, 4 Pr 3.51-3.63
9 Pr 0.6714 0.8625 0.5000  2 Dy 3.34-3.49, 4 Pr 3.51-3.63, 2 Tm 3.67
10 Pr 0.8286 0.3625 0.5000  2 Dy 3.34-3.49, 4 Pr 3.51-3.63, 2 Tm 3.67
11 Pr 0.9147 0.6318 0.0000  1 Tm 3.33, 6 Dy 3.43-3.50, 4 Pr 3.51-3.63
12 Pr 0.9384 0.9188 0.0000  6 Dy 3.57-3.73, 5 Pr 3.63-3.80, 1 Tm 3.75
13 Dy 0.0000 0.5000 0.5000  6 Pr 3.43-3.49, 4 Dy 3.63-3.74
14 Dy 0.0924 0.2279 0.5000  5 Pr 3.34-3.57, 4 Tm 3.54-3.62, 2 Dy 3.63
15 Dy 0.1969 0.9440 0.5000  6 Pr 3.50-3.73, 3 Dy 3.63-3.74, 2 Tm 3.68
16 Dy 0.3031 0.4440 0.5000  6 Pr 3.50-3.73, 3 Dy 3.63-3.74, 2 Tm 3.68
17 Dy 0.4076 0.7279 0.5000  5 Pr 3.34-3.57, 4 Tm 3.54-3.62, 2 Dy 3.63
18 Dy 0.5000 0.0000 0.5000  6 Pr 3.43-3.49, 4 Dy 3.63-3.74
19 Dy 0.5924 0.2721 0.5000  5 Pr 3.34-3.57, 4 Tm 3.54-3.62, 2 Dy 3.63
20 Dy 0.6969 0.5560 0.5000  6 Pr 3.50-3.73, 3 Dy 3.63-3.74, 2 Tm 3.68
21 Dy 0.8031 0.0560 0.5000  6 Pr 3.50-3.73, 3 Dy 3.63-3.74, 2 Tm 3.68
22 Dy 0.9076 0.7721 0.5000  5 Pr 3.34-3.57, 4 Tm 3.54-3.62, 2 Dy 3.63
23 Tm 0.1649 0.7911 0.0000  3 Pr 3.33-3.67, 6 Dy 3.54-3.68, 2 Tm 3.63
24 Tm 0.3351 0.2911 0.0000  3 Pr 3.33-3.67, 6 Dy 3.54-3.68, 2 Tm 3.63
25 Tm 0.6649 0.7089 0.0000  3 Pr 3.33-3.67, 6 Dy 3.54-3.68, 2 Tm 3.63
26 Tm 0.8351 0.2089 0.0000  3 Pr 3.33-3.67, 6 Dy 3.54-3.68, 2 Tm 3.63



[6]
Density functional theory data (PBE) for crystalline Pr3DyTm3 at its relaxed geometry.

## Properties
The calculation puts the mass density at 7.50 g/cm³. For the energy relative to the lowest polymorph listed for this composition, the calculation gives 1.089 eV/f.u. The energy of formation is 1.3 eV/f.u.

Lattice parameters (Å, degrees): 14.9112 14.9112 14.9112 24.04 24.04 24.04
Last column: nearest neighbours and their distance in Å.
Fractional positions:
1 Pr 0.1301 0.4604 0.7988  3 Tm 3.53-3.54, 9 Pr 3.56-3.82
2 Pr 0.2012 0.8699 0.5396  3 Tm 3.53-3.54, 9 Pr 3.56-3.82
3 Pr 0.4604 0.7988 0.1301  3 Tm 3.53-3.54, 9 Pr 3.56-3.82
4 Pr 0.5396 0.2012 0.8699  3 Tm 3.53-3.54, 9 Pr 3.56-3.82
5 Pr 0.7988 0.1301 0.4604  3 Tm 3.53-3.54, 9 Pr 3.56-3.82
6 Pr 0.8699 0.5396 0.2012  3 Tm 3.53-3.54, 9 Pr 3.56-3.82
7 Dy 0.3333 0.3333 0.3333  6 Tm 3.46, 3 Dy 3.59
8 Dy 0.6667 0.6667 0.6667  6 Tm 3.46, 3 Dy 3.59
9 Tm 0.0638 0.7309 0.3968  2 Dy 3.46, 3 Pr 3.53-3.54, 6 Tm 3.58-3.59
10 Tm 0.2691 0.6032 0.9362  2 Dy 3.46, 3 Pr 3.53-3.54, 6 Tm 3.58-3.59
11 Tm 0.3968 0.0638 0.7309  2 Dy 3.46, 3 Pr 3.53-3.54, 6 Tm 3.58-3.59
12 Tm 0.6032 0.9362 0.2691  2 Dy 3.46, 3 Pr 3.53-3.54, 6 Tm 3.58-3.59
13 Tm 0.7309 0.3968 0.0638  2 Dy 3.46, 3 Pr 3.53-3.54, 6 Tm 3.58-3.59
14 Tm 0.9362 0.2691 0.6032  2 Dy 3.46, 3 Pr 3.53-3.54, 6 Tm 3.58-3.59



[7]
Density functional theory data (PBE) for crystalline Pr8Dy4Tm at its relaxed geometry.

## Properties
The calculation puts the mass density at 7.20 g/cm³. The energy of formation is 1.7 eV/f.u.

Lattice parameters (Å, degrees): 6.7925 6.9274 10.9353 87.16 89.73 60.92
Last column: nearest neighbours and their distance in Å.
Fractional positions:
1 Pr 0.0000 0.0000 0.0000  3 Pr 3.24-3.53, 1 Dy 3.39
2 Pr 0.0267 0.6522 0.7689  4 Pr 3.39-3.52, 1 Tm 3.39, 4 Dy 3.44-3.77
3 Pr 0.1319 0.2294 0.3577  1 Tm 3.11, 1 Pr 3.29, 1 Dy 3.44
4 Pr 0.1760 0.7304 0.2622  3 Pr 3.09-3.24, 1 Dy 3.39
5 Pr 0.4770 0.0449 0.8301  1 Tm 3.24, 2 Pr 3.47-3.51, 1 Dy 3.54
6 Pr 0.5384 0.5229 0.9162  5 Pr 3.51-3.70, 3 Dy 3.56-3.71
7 Pr 0.6416 0.2983 0.2621  2 Pr 3.12-3.29
8 Pr 0.8459 0.8302 0.4759  2 Pr 3.09-3.39, 1 Dy 3.33, 1 Tm 3.44
9 Dy 0.1374 0.3976 0.0572  6 Pr 3.39-3.56, 2 Dy 3.60-3.78
10 Dy 0.4152 0.7615 0.5698  1 Tm 3.22, 2 Pr 3.33-3.58, 1 Dy 3.56
11 Dy 0.6135 0.8350 0.1606  9 Pr 3.54-3.83, 2 Dy 3.60-3.78
12 Dy 0.9199 0.2249 0.6701  2 Tm 3.53-3.69, 2 Dy 3.56-3.74, 7 Pr 3.59-3.79
13 Tm 0.3910 0.3091 0.5656  4 Pr 3.11-3.44, 1 Dy 3.22



[8]
Density functional theory data (PBE) for crystalline Pr2Dy2Tm15 at its relaxed geometry.

## Properties
The calculation puts the mass density at 8.43 g/cm³. The energy of formation is 5.5 eV/f.u.

Lattice parameters (Å, degrees): 8.6374 8.6374 8.6374 80.17 80.17 80.17
Last column: nearest neighbours and their distance in Å.
Fractional positions:
1 Pr 0.1187 0.1187 0.1187  6 Tm 3.32-3.57, 1 Dy 3.69
2 Pr 0.8813 0.8813 0.8813  6 Tm 3.32-3.57, 1 Dy 3.69
3 Dy 0.3319 0.3319 0.3319  1 Pr 3.69, 12 Tm 3.87-4.11
4 Dy 0.6681 0.6681 0.6681  1 Pr 3.69, 12 Tm 3.87-4.11
5 Tm 0.0000 0.0000 0.5000  8 Tm 3.31-3.36, 2 Pr 3.32
6 Tm 0.0000 0.3057 0.6943  6 Tm 3.26-3.40
7 Tm 0.0000 0.5000 0.0000  8 Tm 3.31-3.36, 2 Pr 3.32
8 Tm 0.0000 0.6943 0.3057  6 Tm 3.26-3.40
9 Tm 0.1531 0.6341 0.6341  6 Tm 3.22-3.31, 1 Pr 3.57
10 Tm 0.3057 0.0000 0.6943  6 Tm 3.26-3.40
11 Tm 0.3057 0.6943 0.0000  6 Tm 3.26-3.40
12 Tm 0.3659 0.3659 0.8469  6 Tm 3.22-3.31, 1 Pr 3.57
13 Tm 0.3659 0.8469 0.3659  6 Tm 3.22-3.31, 1 Pr 3.57
14 Tm 0.5000 0.0000 0.0000  8 Tm 3.31-3.36, 2 Pr 3.32
15 Tm 0.6341 0.1531 0.6341  6 Tm 3.22-3.31, 1 Pr 3.57
16 Tm 0.6341 0.6341 0.1531  6 Tm 3.22-3.31, 1 Pr 3.57
17 Tm 0.6943 0.0000 0.3057  6 Tm 3.26-3.40
18 Tm 0.6943 0.3057 0.0000  6 Tm 3.26-3.40
19 Tm 0.8469 0.3659 0.3659  6 Tm 3.22-3.31, 1 Pr 3.57



[9]
Density functional theory data (PBE) for crystalline Pr6DyTm2 at its relaxed geometry.

## Properties
The calculation puts the mass density at 7.09 g/cm³. For the energy relative to the lowest polymorph listed for this composition, the calculation gives 0.854 eV/f.u. The energy of formation is 1.6 eV/f.u.

Lattice parameters (Å, degrees): 6.1897 6.1897 15.5784 101.86 101.86 32.71
Last column: nearest neighbours and their distance in Å.
Fractional positions:
1 Pr 0.0409 0.0409 0.2303  6 Pr 3.49-3.62, 3 Tm 3.50-3.66, 1 Dy 3.52
2 Pr 0.2923 0.2923 0.1044  6 Pr 3.49-3.64, 1 Tm 3.50, 3 Dy 3.50-3.67
3 Pr 0.3741 0.3741 0.5628  6 Pr 3.49-3.62, 4 Tm 3.50-3.66
4 Pr 0.6259 0.6259 0.4372  6 Pr 3.49-3.62, 4 Tm 3.50-3.66
5 Pr 0.7077 0.7077 0.8956  6 Pr 3.49-3.64, 1 Tm 3.50, 3 Dy 3.50-3.67
6 Pr 0.9591 0.9591 0.7697  6 Pr 3.49-3.62, 3 Tm 3.50-3.66, 1 Dy 3.52
7 Dy 0.0000 0.0000 0.0000  2 Dy 3.49, 8 Pr 3.50-3.67
8 Tm 0.3332 0.3332 0.3338  2 Tm 3.49, 8 Pr 3.50-3.66
9 Tm 0.6668 0.6668 0.6662  2 Tm 3.49, 8 Pr 3.50-3.66



[10]
Density functional theory data (PBE) for crystalline Pr4Dy2Tm at its relaxed geometry.

## Properties
The calculation puts the mass density at 7.33 g/cm³. For the energy relative to the lowest polymorph listed for this composition, the calculation gives 0.000 eV/f.u. The energy of formation is 0.4 eV/f.u.

Lattice parameters (Å, degrees): 12.6412 6.8555 13.6257 67.05 29.96 83.00
Last column: nearest neighbours and their distance in Å.
Fractional positions:
1 Pr 0.1443 0.2936 0.0681  5 Pr 3.47-3.63, 3 Dy 3.61-3.87, 2 Tm 3.62-3.67
2 Pr 0.1819 0.7560 0.1057  5 Pr 3.47-3.63, 3 Dy 3.61-3.87, 2 Tm 3.62-3.67
3 Pr 0.2936 0.1443 0.4940  5 Pr 3.47-3.63, 3 Dy 3.61-3.87, 2 Tm 3.62-3.67
4 Pr 0.3780 0.6220 0.4819  4 Dy 3.44-3.70, 4 Pr 3.47-3.65, 2 Tm 3.71-3.74
5 Pr 0.6220 0.3780 0.5181  4 Dy 3.44-3.70, 4 Pr 3.47-3.65, 2 Tm 3.71-3.74
6 Pr 0.7319 0.7681 0.6280  4 Dy 3.44-3.70, 4 Pr 3.47-3.65, 2 Tm 3.71-3.74
7 Pr 0.7560 0.1819 0.9564  5 Pr 3.47-3.63, 3 Dy 3.61-3.87, 2 Tm 3.62-3.67
8 Pr 0.7681 0.7319 0.8720  4 Dy 3.44-3.70, 4 Pr 3.47-3.65, 2 Tm 3.71-3.74
9 Dy 0.2063 0.6856 0.3622  6 Pr 3.44-3.70, 2 Tm 3.48-3.63, 2 Dy 3.70
10 Dy 0.5041 0.8878 0.5644  6 Pr 3.44-3.70, 2 Tm 3.48-3.63, 2 Dy 3.70
11 Dy 0.6856 0.2063 0.7459  6 Pr 3.44-3.70, 2 Tm 3.48-3.63, 2 Dy 3.70
12 Dy 0.8878 0.5041 0.0437  6 Pr 3.44-3.70, 2 Tm 3.48-3.63, 2 Dy 3.70
13 Tm 0.0030 0.0030 0.9970  4 Dy 3.48-3.63, 8 Pr 3.62-3.74
14 Tm 0.2530 0.2530 0.2470  4 Dy 3.48-3.63, 8 Pr 3.62-3.74



[11]
Density functional theory data (PBE) for crystalline PrDyTm2 at its relaxed geometry.

## Properties
The calculation puts the mass density at 8.35 g/cm³. For the energy relative to the lowest polymorph listed for this composition, the calculation gives 0.020 eV/f.u. The energy of formation is 0.1 eV/f.u.

Lattice parameters (Å, degrees): 3.5649 3.5649 10.0409 90.00 90.00 90.00
Last column: nearest neighbours and their distance in Å.
Fractional positions:
1 Pr 0.0000 0.0000 0.0000  4 Pr 3.56, 8 Tm 3.60
2 Dy 0.0000 0.0000 0.5000  8 Tm 3.52, 4 Dy 3.56
3 Tm 0.5000 0.5000 0.2557  4 Dy 3.52, 4 Tm 3.56, 4 Pr 3.60
4 Tm 0.5000 0.5000 0.7443  4 Dy 3.52, 4 Tm 3.56, 4 Pr 3.60



[12]
Density functional theory data (PBE) for crystalline Pr2Dy8Tm at its relaxed geometry.

## Properties
The calculation puts the mass density at 8.06 g/cm³. For the energy relative to the lowest polymorph listed for this composition, the calculation gives 0.000 eV/f.u. The energy of formation is 1.7 eV/f.u.

Lattice parameters (Å, degrees): 9.2191 9.2191 5.8997 105.33 105.33 121.33
Last column: nearest neighbours and their distance in Å.
Fractional positions:
1 Pr 0.1934 0.8066 0.0000  8 Dy 3.36-3.49
2 Pr 0.8066 0.1934 0.0000  8 Dy 3.36-3.49
3 Dy 0.0752 0.0752 0.2974  4 Dy 3.00-3.33, 1 Tm 3.35
4 Dy 0.1722 0.4015 0.8279  3 Dy 3.22-3.47, 2 Pr 3.49
5 Dy 0.2930 0.7070 0.5000  1 Tm 3.33, 2 Pr 3.36, 6 Dy 3.64-3.70
6 Dy 0.4015 0.1722 0.8279  3 Dy 3.22-3.47, 2 Pr 3.49
7 Dy 0.5985 0.8278 0.1721  3 Dy 3.22-3.47, 2 Pr 3.49
8 Dy 0.7070 0.2930 0.5000  1 Tm 3.33, 2 Pr 3.36, 6 Dy 3.64-3.70
9 Dy 0.8278 0.5985 0.1721  3 Dy 3.22-3.47, 2 Pr 3.49
10 Dy 0.9248 0.9248 0.7026  4 Dy 3.00-3.33, 1 Tm 3.35
11 Tm 0.5000 0.5000 0.5000  4 Dy 3.33-3.35



no.,D(E_F) (states/eV/cell),total DFT energy (no corrections) (eV/cell)
1,10.19,-31.900
2,15.19,-54.730
3,17.35,-54.630
4,5.66,-18.364
5,30.52,-118.537
6,23.29,-62.185
7,17.53,-59.459
8,32.58,-80.310
9,15.26,-40.633
10,21.19,-64.720
11,6.15,-18.206
12,14.38,-49.110